Record 1
BC3 after structural relaxation. Source: the Alexandria database, functional PBE.

Structure (POSCAR):
```
BC3
1.0
-1.846 1.846 3.646
1.846 -1.846 3.646
1.846 1.846 -3.646
B C
2 6
Direct
0.000 0.000 0.000
0.750 0.250 0.500
0.142 0.625 0.017
0.250 0.750 0.500
0.375 0.392 0.517
0.500 0.500 0.000
0.608 0.125 0.983
0.875 0.858 0.483
```

space group = I-42d (122)
excess energy over the best structure of this formula in the dataset = 0.44 eV/f.u.
E_form = 0.35 eV/atom

=====

Record 2
LaDy3Pu2Se6 after structural relaxation. Source: the Alexandria database, functional PBE.

Structure (POSCAR):
```
LaDy3Pu2Se6
1.0
3.569 -6.186 0.000
3.569 6.186 0.000
-2.385 0.000 6.815
La Dy Pu Se
1 3 2 6
Direct
0.000 0.000 0.000
0.164 0.836 0.500
0.500 0.500 0.500
0.836 0.164 0.500
0.333 0.667 0.000
0.667 0.333 0.000
0.087 0.427 0.261
0.255 0.255 0.742
0.427 0.087 0.261
0.573 0.913 0.739
0.745 0.745 0.258
0.913 0.573 0.739
```

uncorrected formation energy = -1.737 eV per atom
space group = C2/m (12)

=====

Record 3
ZrNbPd after structural relaxation. Source: the Alexandria database, functional PBE.

Structure (POSCAR):
```
ZrNbPd
1.0
2.008 -6.369 0.000
2.008 6.369 0.000
0.000 0.000 4.368
Zr Nb Pd
2 2 2
Direct
0.154 0.846 0.000
0.846 0.154 0.000
0.332 0.668 0.500
0.668 0.332 0.500
0.000 0.000 0.500
0.500 0.500 0.000
```

space group = Cmmm (65)
excess energy over the best structure of this formula in the dataset = 0.37 eV/f.u.
E_form = -0.29 eV/atom

=====

Number 1: raw total energy -0.6053 Ry per atom, theoretical density 3.1 g/cm³, total moment 0.00 μB/cell. Number 2: raw total energy -0.5460 Ry per atom, theoretical density 8.8 g/cm³, total moment 11.83 μB/cell. Number 3: raw total energy -0.6049 Ry per atom, theoretical density 8.6 g/cm³, total moment 0.00 μB/cell.